1.
First-principles (PBE) data for YHg2Pb2 after structural relaxation, as listed in Alexandria.

a = 4.2397 Å, b = 4.2397 Å, c = 8.7559 Å
α = 75.99°, β = 75.99°, γ = 90.00°
Sites, in units of the cell vectors:
Pb1 0.4050 0.4050 0.1901
Pb2 0.5950 0.5950 0.8099
Y1 0.0000 0.0000 0.0000
Hg1 0.7500 0.2500 0.5000
Hg2 0.2500 0.7500 0.5000

Summary:
DFT formation energy	-0.0206	eV/atom
E above lowest polymorph	206	meV/atom
magnetic moment	0.00	μB per formula unit

=====

2.
First-principles (PBE) data for HoSiNi2 after structural relaxation, as listed in Alexandria.

a = 3.9760 Å, b = 3.9760 Å, c = 5.1935 Å
α = 67.49°, β = 67.49°, γ = 60.00°
Sites, in units of the cell vectors:
Ni1 0.7991 0.7991 0.6026
Ni2 0.2009 0.2009 0.3974
Si1 0.5000 0.5000 0.5000
Ho1 0.0000 0.0000 0.0000

Summary:
formation energy (no corrections)	-266	kJ/mol of formula units
magnetic moment	0.00	μB per formula unit

=====

| no. | ρ (g/cm3) |
| --- | --- |
| 1 | 10.157 |
| 2 | 8.081 |